Entry w
KGeSbTe2 | PBE | optimized geometry

Unit cell a=5.9548 b=5.9548 c=5.7124 alpha=90.00 beta=90.00 gamma=90.00
With the nearest neighbours (Å) after each atom.
Fractional coordinates of all 5 atoms:
K (0.0000, 0.0000, 0.0000)  2 Sb 2.86, 4 Te 2.98
Ge (0.5000, 0.5000, 0.5000)  8 Te 4.13, 4 Sb 4.21
Sb (0.0000, 0.0000, 0.5000)  2 K 2.86
Te (0.0000, 0.5000, 0.0000)  2 K 2.98
Te (0.5000, 0.0000, 0.0000)  2 K 2.98

- V: 40.5 Å³/atom
- ρ: 4.0 Mg/m³

---

Entry x
KGeSbTe2 | PBE | optimized geometry

Unit cell a=5.6594 b=5.6594 c=5.4204 alpha=90.00 beta=90.00 gamma=90.00
With the nearest neighbours (Å) after each atom.
Fractional coordinates of all 5 atoms:
K (0.0000, 0.0000, 0.0000)  8 Te 3.92, 4 Sb 4.00
Ge (0.5000, 0.5000, 0.5000)  2 Sb 2.71, 4 Te 2.83
Sb (0.5000, 0.5000, 0.0000)  2 Ge 2.71
Te (0.0000, 0.5000, 0.5000)  2 Ge 2.83
Te (0.5000, 0.0000, 0.5000)  2 Ge 2.83

- V: 34.7 Å³/atom
- ρ: 4.7 Mg/m³

---

The least stable of the structures above is entry w, whereas entry x is the most stable.